1.
{"formula": "U4Si8Ir", "functional": "PBE-GGA", "state": "relaxed", "spacegroup": "No. 25", "m_tot_mub_per_atom": 0.392, "dft_energy_ev_per_atom": -7.780, "n_ef_per_ev_fu": 19.1, "lattice": [[-3.7527, -1.1141, 0.1439], [1.1705, -3.9056, 0.2862], [0.2162, 1.1051, 14.1970]], "species": ["U", "U", "U", "U", "Si", "Si", "Si", "Si", "Si", "Si", "Si", "Si", "Ir"], "fractional_positions": [[0.0000, 0.0000, 0.0573], [0.0000, 0.5000, 0.6187], [0.5000, 0.5000, 0.4000], [0.5000, 0.0000, 0.9335], [0.0000, 0.0000, 0.4668], [0.0000, 0.5000, 0.9033], [0.5000, 0.5000, 0.0875], [0.5000, 0.0000, 0.5661], [0.0000, 0.5000, 0.2111], [0.0000, 0.0000, 0.7735], [0.5000, 0.0000, 0.2090], [0.5000, 0.5000, 0.7779], [0.0000, 0.0000, 0.2983]]}

***

2.
{"formula": "Bi2HPd8", "functional": "PBE-GGA", "state": "relaxed", "spacegroup": "No. 12", "m_tot_mub_per_atom": 0.000, "dft_energy_ev_per_atom": -4.919, "n_ef_per_ev_fu": 5.5, "lattice": [[-0.2475, -4.4805, -1.8320], [4.5339, -1.5629, 3.2100], [-6.5745, 1.4679, 3.7098]], "species": ["Bi", "Bi", "H", "Pd", "Pd", "Pd", "Pd", "Pd", "Pd", "Pd", "Pd"], "fractional_positions": [[0.8124, 0.2909, 0.6249], [0.1876, 0.7091, 0.3751], [0.5000, 0.0000, 0.0000], [0.3889, 0.7076, 0.7778], [0.5960, 0.7711, 0.1920], [0.8046, 0.7868, 0.6091], [0.0042, 0.2435, 0.0084], [0.1954, 0.2132, 0.3909], [0.4040, 0.2289, 0.8080], [0.6111, 0.2924, 0.2222], [0.9958, 0.7565, 0.9916]]}

***

3.
{"formula": "MgTaCuPd2", "functional": "PBE-GGA", "state": "relaxed", "spacegroup": "No. 123", "ef_ev_per_atom": 0.75, "m_tot_mub_per_atom": 0.158, "dft_energy_ev_per_atom": -4.835, "n_ef_per_ev_fu": 5.7, "lattice": [[-3.0653, 3.5464, 0.1025], [-2.3171, -1.9056, -3.3643], [-2.6036, -2.3405, 3.1189]], "species": ["Mg", "Cu", "Pd", "Pd", "Ta"], "fractional_positions": [[0.5000, 0.5000, 0.5000], [0.0000, 0.0000, 0.0000], [0.0000, 0.0000, 0.5000], [0.5000, 0.0000, 0.0000], [0.0000, 0.5000, 0.0000]]}

***

4.
{"formula": "PaAsPRu", "functional": "PBE-GGA", "state": "relaxed", "spacegroup": "No. 129", "ef_ev_per_atom": -0.92, "m_tot_mub_per_atom": 0.000, "dft_energy_ev_per_atom": -8.124, "n_ef_per_ev_fu": 1.9, "lattice": [[3.9947, 0.0000, 0.0000], [0.0000, 3.9947, 0.0000], [0.0000, 0.0000, 9.2467]], "species": ["Pa", "Pa", "As", "As", "P", "P", "Ru", "Ru"], "fractional_positions": [[0.5000, 0.0000, 0.7464], [0.0000, 0.5000, 0.2536], [0.0000, 0.0000, 0.5000], [0.5000, 0.5000, 0.5000], [0.0000, 0.5000, 0.8545], [0.5000, 0.0000, 0.1455], [0.5000, 0.5000, 0.0000], [0.0000, 0.0000, 0.0000]]}

***

5.
{"formula": "LiAl2F2", "functional": "PBE-GGA", "state": "relaxed", "spacegroup": "No. 127", "de_polymorph_ev_per_atom": 0.000, "m_tot_mub_per_atom": 0.000, "dft_energy_ev_per_atom": -4.312, "n_ef_per_ev_fu": 0.9, "lattice": [[-4.9982, -0.9410, -2.1044], [1.0250, -5.4079, -0.0164], [-1.5729, -0.3099, 3.8743]], "species": ["Li", "Li", "Al", "Al", "Al", "Al", "F", "F", "F", "F"], "fractional_positions": [[0.0000, 0.0000, 0.0000], [0.5000, 0.5000, 0.0000], [0.3215, 0.8215, 0.5000], [0.8215, 0.6785, 0.5000], [0.6785, 0.1785, 0.5000], [0.1785, 0.3215, 0.5000], [0.3124, 0.8124, 0.0000], [0.8124, 0.6876, 0.0000], [0.6876, 0.1876, 0.0000], [0.1876, 0.3124, 0.0000]]}

***

6.
{"formula": "LiSm2Ge3Au4", "functional": "PBE-GGA", "state": "relaxed", "spacegroup": "No. 115", "ef_ev_per_atom": -0.59, "m_tot_mub_per_atom": 0.000, "dft_energy_ev_per_atom": -4.422, "n_ef_per_ev_fu": 4.2, "lattice": [[-3.9556, 1.5187, -0.8711], [-1.0428, -3.7725, -1.8420], [-3.5463, -3.7179, 9.6220]], "species": ["Li", "Sm", "Sm", "Ge", "Ge", "Ge", "Au", "Au", "Au", "Au"], "fractional_positions": [[0.5000, 0.5000, 0.5000], [0.5000, 0.0000, 0.2357], [0.0000, 0.5000, 0.7643], [0.0000, 0.0000, 0.5000], [0.5000, 0.0000, 0.8560], [0.0000, 0.5000, 0.1440], [0.5000, 0.5000, 0.0000], [0.0000, 0.0000, 0.0000], [0.5000, 0.0000, 0.6280], [0.0000, 0.5000, 0.3720]]}

***

7.
{"formula": "SbTeBr", "functional": "PBE-GGA", "state": "relaxed", "spacegroup": "No. 216", "m_tot_mub_per_atom": 0.000, "dft_energy_ev_per_atom": -3.056, "n_ef_per_ev_fu": 1.2, "lattice": [[5.1975, 0.0000, 0.0000], [2.5987, 4.5011, 0.0000], [2.5987, 1.5004, 4.2437]], "species": ["Sb", "Te", "Br"], "fractional_positions": [[0.2500, 0.2500, 0.2500], [0.0000, 0.0000, 0.0000], [0.5000, 0.5000, 0.5000]]}

***

8.
{"formula": "LiAcErTc", "functional": "PBE-GGA", "state": "relaxed", "spacegroup": "No. 216", "ef_ev_per_atom": 0.09, "m_tot_mub_per_atom": 0.000, "dft_energy_ev_per_atom": -5.151, "n_ef_per_ev_fu": 4.3, "lattice": [[-2.5672, -0.5094, 4.3940], [-1.2622, -4.6558, 1.6993], [2.3352, -1.9400, 4.1159]], "species": ["Ac", "Li", "Tc", "Er"], "fractional_positions": [[0.2500, 0.2500, 0.2500], [0.0000, 0.0000, 0.0000], [0.5000, 0.5000, 0.5000], [0.7500, 0.7500, 0.7500]]}

***

9.
{"formula": "FeCuAs2", "functional": "PBE-GGA", "state": "relaxed", "spacegroup": "No. 44", "de_polymorph_ev_per_atom": 0.008, "ef_ev_per_atom": 0.08, "m_tot_mub_per_atom": 0.139, "dft_energy_ev_per_atom": -5.382, "n_ef_per_ev_fu": 2.4, "lattice": [[-3.4048, 1.3269, -5.1378], [0.0225, -1.5746, -6.1050], [-0.0760, -1.2315, 6.1829]], "species": ["As", "As", "Cu", "Fe"], "fractional_positions": [[0.0551, 0.0551, 0.0000], [0.7845, 0.2845, 0.5000], [0.4383, 0.4383, 0.0000], [0.2221, 0.7221, 0.5000]]}

***

10.
{"formula": "Na3SrCu", "functional": "PBE-GGA", "state": "relaxed", "spacegroup": "No. 221", "de_polymorph_ev_per_atom": 0.000, "ef_ev_per_atom": 0.23, "m_tot_mub_per_atom": 0.000, "dft_energy_ev_per_atom": -1.712, "n_ef_per_ev_fu": 3.9, "lattice": [[-2.0567, -1.4543, 5.0222], [-1.2635, -5.0986, -1.9938], [5.0735, -1.8593, 1.5394]], "species": ["Sr", "Cu", "Na", "Na", "Na"], "fractional_positions": [[0.5000, 0.5000, 0.5000], [0.0000, 0.0000, 0.0000], [0.0000, 0.5000, 0.0000], [0.0000, 0.0000, 0.5000], [0.5000, 0.0000, 0.0000]]}

***

11.
{"formula": "LiGa3Ag2", "functional": "PBE-GGA", "state": "relaxed", "spacegroup": "No. 15", "de_polymorph_ev_per_atom": 0.004, "ef_ev_per_atom": -0.10, "m_tot_mub_per_atom": 0.000, "dft_energy_ev_per_atom": -2.888, "n_ef_per_ev_fu": 2.0, "lattice": [[4.7286, 1.0502, -0.6052], [0.4753, 4.8205, -0.6052], [-1.6405, -1.8507, 9.5989]], "species": ["Li", "Li", "Ga", "Ga", "Ga", "Ga", "Ga", "Ga", "Ag", "Ag", "Ag", "Ag"], "fractional_positions": [[0.1255, 0.8745, 0.2500], [0.8745, 0.1255, 0.7500], [0.7954, 0.5431, 0.5891], [0.4569, 0.2046, 0.9109], [0.2046, 0.4569, 0.4109], [0.5431, 0.7954, 0.0891], [0.6258, 0.3742, 0.2500], [0.3742, 0.6258, 0.7500], [0.0409, 0.2901, 0.0810], [0.7099, 0.9591, 0.4190], [0.9591, 0.7099, 0.9190], [0.2901, 0.0409, 0.5810]]}

***

12.
{"formula": "CeMgTl", "functional": "PBE-GGA", "state": "relaxed", "spacegroup": "No. 107", "ef_ev_per_atom": -0.09, "m_tot_mub_per_atom": 0.524, "dft_energy_ev_per_atom": -3.384, "n_ef_per_ev_fu": 5.9, "lattice": [[3.4144, 0.0000, 0.0000], [0.0000, 3.4144, 0.0000], [-1.7072, -1.7072, 6.9033]], "species": ["Tl", "Mg", "Ce"], "fractional_positions": [[0.6076, 0.6076, 0.2151], [0.9604, 0.9604, 0.9209], [0.2820, 0.2820, 0.5640]]}

***

13.
{"formula": "AlIn2Ag", "functional": "PBE-GGA", "state": "relaxed", "spacegroup": "No. 160", "ef_ev_per_atom": 0.06, "m_tot_mub_per_atom": 0.000, "dft_energy_ev_per_atom": -2.960, "n_ef_per_ev_fu": 0.7, "lattice": [[9.6631, 0.0160, 0.0094], [9.1095, 3.2237, 0.0094], [9.1095, 1.5721, 2.8144]], "species": ["Al", "Ag", "In", "In"], "fractional_positions": [[0.7566, 0.7566, 0.7566], [0.4929, 0.4929, 0.4929], [0.0059, 0.0059, 0.0059], [0.2446, 0.2446, 0.2446]]}

***

14.
{"formula": "HoZrPa2", "functional": "PBE-GGA", "state": "relaxed", "spacegroup": "No. 123", "de_polymorph_ev_per_atom": 0.061, "ef_ev_per_atom": 0.20, "m_tot_mub_per_atom": 0.000, "dft_energy_ev_per_atom": -7.829, "n_ef_per_ev_fu": 8.3, "lattice": [[5.0578, 0.0000, 0.0000], [0.0000, 4.5008, 0.0000], [0.0000, 0.0000, 4.5008]], "species": ["Pa", "Pa", "Ho", "Zr"], "fractional_positions": [[0.0000, 0.0000, 0.5000], [0.0000, 0.5000, 0.0000], [0.5000, 0.5000, 0.5000], [0.5000, 0.0000, 0.0000]]}

***

15.
{"formula": "BaTcIr", "functional": "PBE-GGA", "state": "relaxed", "spacegroup": "No. 156", "de_polymorph_ev_per_atom": 0.139, "ef_ev_per_atom": 0.22, "m_tot_mub_per_atom": 0.000, "dft_energy_ev_per_atom": -6.827, "n_ef_per_ev_fu": 1.7, "lattice": [[4.1553, 0.0000, 0.0000], [-2.0777, 3.5986, 0.0000], [0.0000, 0.0000, 5.3621]], "species": ["Ba", "Ir", "Tc"], "fractional_positions": [[0.0000, 0.0000, 0.0032], [0.6667, 0.3333, 0.4663], [0.3333, 0.6667, 0.5306]]}

***

16.
{"formula": "Al2Ni3Pt", "functional": "PBE-GGA", "state": "relaxed", "spacegroup": "No. 141", "ef_ev_per_atom": -0.45, "m_tot_mub_per_atom": 0.000, "dft_energy_ev_per_atom": -5.596, "n_ef_per_ev_fu": 2.9, "lattice": [[6.7671, 0.0000, -3.7231], [-2.0483, 6.4497, -3.7231], [-0.2712, -0.3706, 7.5187]], "species": ["Al", "Al", "Al", "Al", "Al", "Al", "Al", "Al", "Ni", "Ni", "Ni", "Ni", "Ni", "Ni", "Ni", "Ni", "Ni", "Ni", "Ni", "Ni", "Pt", "Pt", "Pt", "Pt"], "fractional_positions": [[0.8995, 0.7167, 0.7990], [0.3505, 0.6677, 0.7010], [0.2833, 0.1005, 0.2010], [0.3323, 0.6495, 0.2990], [0.9177, 0.1005, 0.2010], [0.9667, 0.6495, 0.2990], [0.3505, 0.0333, 0.7010], [0.8995, 0.0823, 0.7990], [0.2920, 0.7080, 0.0000], [0.1250, 0.8750, 0.2500], [0.1250, 0.3750, 0.2500], [0.7080, 0.7080, 0.0000], [0.7080, 0.2920, 0.0000], [0.9580, 0.4580, 0.5000], [0.6250, 0.8750, 0.7500], [0.1250, 0.8750, 0.7500], [0.5420, 0.0420, 0.5000], [0.5420, 0.4580, 0.5000], [0.2920, 0.2920, 0.0000], [0.9580, 0.0420, 0.5000], [0.3173, 0.3173, 0.6345], [0.6827, 0.6827, 0.3655], [0.5673, 0.0673, 0.1345], [0.9327, 0.4327, 0.8655]]}

***

17.
{"formula": "LiZn3Rh", "functional": "PBE-GGA", "state": "relaxed", "spacegroup": "No. 12", "de_polymorph_ev_per_atom": 0.021, "ef_ev_per_atom": -0.30, "m_tot_mub_per_atom": 0.000, "dft_energy_ev_per_atom": -2.922, "n_ef_per_ev_fu": 1.7, "lattice": [[4.3501, 0.0000, 0.0000], [-2.1751, 6.3112, 0.0856], [0.0000, -1.1087, 5.1262]], "species": ["Li", "Li", "Zn", "Zn", "Zn", "Zn", "Zn", "Zn", "Rh", "Rh"], "fractional_positions": [[0.6061, 0.2121, 0.4394], [0.3939, 0.7879, 0.5606], [0.7977, 0.5954, 0.3501], [0.3924, 0.7849, 0.0591], [0.0014, 0.0028, 0.7516], [0.2023, 0.4046, 0.6499], [0.9986, 0.9972, 0.2484], [0.6076, 0.2151, 0.9409], [0.8066, 0.6132, 0.8518], [0.1934, 0.3868, 0.1482]]}

***

18.
{"formula": "TbCe5Sn3", "functional": "PBE-GGA", "state": "relaxed", "spacegroup": "No. 193", "ef_ev_per_atom": -0.48, "m_tot_mub_per_atom": 0.863, "dft_energy_ev_per_atom": -5.621, "n_ef_per_ev_fu": 24.1, "lattice": [[-0.4416, 2.8356, 5.9817], [-8.8298, 2.8097, -1.9838], [1.4868, -8.4134, 4.0981]], "species": ["Tb", "Tb", "Ce", "Ce", "Ce", "Ce", "Ce", "Ce", "Ce", "Ce", "Ce", "Ce", "Sn", "Sn", "Sn", "Sn", "Sn", "Sn"], "fractional_positions": [[0.0000, 0.0000, 0.0000], [0.5000, 0.0000, 0.0000], [0.0000, 0.6667, 0.3334], [0.5000, 0.3333, 0.6666], [0.0000, 0.3333, 0.6666], [0.5000, 0.6667, 0.3334], [0.7500, 0.6595, 0.6595], [0.7500, 0.0000, 0.3405], [0.7500, 0.3405, 0.0000], [0.2500, 0.3405, 0.3405], [0.2500, 0.0000, 0.6595], [0.2500, 0.6595, 0.0000], [0.7500, 0.3258, 0.3258], [0.7500, 0.0000, 0.6742], [0.7500, 0.6743, 0.0000], [0.2500, 0.6742, 0.6742], [0.2500, 0.0000, 0.3258], [0.2500, 0.3257, 0.0000]]}